[1]
Li3Pr2InCu12 | PBE-GGA | optimized geometry

Cell: 6.2234 6.2234 27.6284 Å, 90.00 90.00 120.00°
Closest atoms and distances in Å follow each position.
Space group R-3m (No. 166, hexagonal axes)
Unique sites:
Li (0.0000, 0.5000, 0.0000)  4 Cu 2.35
Pr (0.0000, 0.0000, 0.1381)  12 Cu 2.99-3.32
In (0.0000, 0.0000, 0.5000)  6 Cu 2.83
Cu (0.0548, 0.5274, 0.9022)  4 Cu 2.49-2.60, 1 Li 2.72
Cu (0.0768, 0.5384, 0.6245)  2 Li 2.35, 4 Cu 2.39-2.49

=====

[2]
LiPrInCu | PBE-GGA | optimized geometry

Cell: 6.8832 6.8832 6.8832 Å, 90.00 90.00 90.00°
Closest atoms and distances in Å follow each position.
Space group F-43m (No. 216)
Unique sites:
Li (0.0000, 0.0000, 0.0000)  4 In 2.98, 4 Pr 2.98
Pr (0.2500, 0.2500, 0.2500)  4 Li 2.98, 4 Cu 2.98
In (0.2500, 0.2500, 0.7500)  4 Li 2.98, 4 Cu 2.98
Cu (0.0000, 0.0000, 0.5000)  4 In 2.98, 4 Pr 2.98

=====

[3]
LiInCuPt | PBE-GGA | optimized geometry

Cell: 6.2973 6.2973 6.2973 Å, 90.00 90.00 90.00°
Closest atoms and distances in Å follow each position.
Space group F-43m (No. 216)
Unique sites:
Li (0.0000, 0.0000, 0.0000)  4 In 2.73, 4 Cu 2.73
In (0.2500, 0.2500, 0.2500)  4 Li 2.73, 4 Pt 2.73
Cu (0.2500, 0.2500, 0.7500)  4 Li 2.73, 4 Pt 2.73
Pt (0.0000, 0.0000, 0.5000)  4 In 2.73, 4 Cu 2.73

=====

[4]
LiInCu2Ru | PBE-GGA | optimized geometry

Cell: 4.0404 4.0404 4.4984 Å, 90.00 90.00 90.00°
Closest atoms and distances in Å follow each position.
Space group P4/mmm (No. 123)
Unique sites:
Li (0.0000, 0.0000, 0.0000)  4 Cu 2.02, 2 In 2.25
In (0.0000, 0.0000, 0.5000)  2 Li 2.25
Cu (0.0000, 0.5000, 0.0000)  2 Li 2.02
Ru (0.5000, 0.5000, 0.5000)  4 In 2.86, 8 Cu 3.02

=====

[5]
Li3Sm2InCu12 | PBE-GGA | optimized geometry

Cell: 8.8700 8.8700 12.5537 Å, 90.00 90.00 120.00°
Closest atoms and distances in Å follow each position.
Space group R-3m (No. 166, hexagonal axes)
Unique sites:
Li (0.0000, 0.5000, 0.0000)  10 Cu 2.66-2.95, 2 Sm 2.97
Sm (0.0000, 0.0000, 0.2129)  9 Cu 2.86-2.99, 3 Li 2.97
In (0.0000, 0.0000, 0.5000)  6 Cu 2.55
Cu (0.0095, 0.5048, 0.2120)  3 Cu 2.42-2.54, 1 In 2.55, 1 Li 2.66
Cu (0.0458, 0.5229, 0.5985)  4 Cu 2.42-2.57

=====

[6]
LiInCuSn | PBE-GGA | optimized geometry

Cell: 6.7367 6.7367 6.7367 Å, 90.00 90.00 90.00°
Closest atoms and distances in Å follow each position.
Space group F-43m (No. 216)
Unique sites:
Li (0.0000, 0.0000, 0.0000)  4 In 2.92, 4 Sn 2.92
In (0.2500, 0.2500, 0.2500)  4 Li 2.92, 4 Cu 2.92
Cu (0.0000, 0.0000, 0.5000)  4 In 2.92, 4 Sn 2.92
Sn (0.2500, 0.2500, 0.7500)  4 Li 2.92, 4 Cu 2.92

=====

[7]
SrLiIn2Cu | PBE-GGA | optimized geometry

Cell: 5.0753 5.0753 5.0016 Å, 90.00 90.00 90.00°
Closest atoms and distances in Å follow each position.
Space group P4/mmm (No. 123)
Unique sites:
Sr (0.0000, 0.0000, 0.0000)  8 In 3.56, 4 Li 3.59
Li (0.5000, 0.5000, 0.0000)  2 Cu 2.50
In (0.0000, 0.5000, 0.5000)  2 Cu 2.54
Cu (0.5000, 0.5000, 0.5000)  2 Li 2.50, 4 In 2.54

=====

[8]
SrLi2InCu | PBE-GGA | optimized geometry

Cell: 5.0038 5.0038 4.9757 Å, 90.00 90.00 90.00°
Closest atoms and distances in Å follow each position.
Space group P4/mmm (No. 123)
Unique sites:
Sr (0.0000, 0.0000, 0.0000)  8 Li 3.53, 4 In 3.54
Li (0.0000, 0.5000, 0.5000)  2 Cu 2.50
In (0.5000, 0.5000, 0.0000)  2 Cu 2.49
Cu (0.5000, 0.5000, 0.5000)  2 In 2.49, 4 Li 2.50

=====

[9]
Sr2LiIn6Cu | PBE-GGA | optimized geometry

Cell: 7.0358 7.0647 7.6918 Å, 89.64 62.79 60.14°
Closest atoms and distances in Å follow each position.
Space group P-1 (No. 2)
Unique sites:
Sr (0.0768, 0.2117, 0.1355)  12 In 3.70-4.03
Li (0.5000, 0.5000, 0.0000)  6 In 2.73-2.75
In (0.0041, 0.2472, 0.6848)  1 Cu 2.58, 1 Li 2.74
In (0.4333, 0.7545, 0.3162)  1 Cu 2.58, 1 Li 2.75
In (0.4355, 0.3135, 0.3171)  1 Cu 2.58, 1 Li 2.73
Cu (0.5000, 0.0000, 0.5000)  6 In 2.58

=====

[10]
Sr2Li12InCu3 | PBE-GGA | optimized geometry

Cell: 8.5037 8.5037 21.2002 Å, 90.00 90.00 120.00°
Closest atoms and distances in Å follow each position.
Space group R-3m (No. 166, hexagonal axes)
Unique sites:
Sr (0.0000, 0.0000, 0.0867)  6 Li 3.32-3.39, 1 Sr 3.68
Li (0.0647, 0.5323, 0.8832)  1 Cu 2.52
Li (0.1025, 0.5512, 0.2860)  2 Cu 2.40
In (0.0000, 0.0000, 0.5000)  12 Li 3.05-3.12
Cu (0.0000, 0.5000, 0.0000)  6 Li 2.40-2.52

=====

[11]
LiInCu2Tc | PBE-GGA | optimized geometry

Cell: 4.0746 4.0746 4.4766 Å, 90.00 90.00 90.00°
Closest atoms and distances in Å follow each position.
Space group P4/mmm (No. 123)
Unique sites:
Li (0.0000, 0.0000, 0.0000)  4 Cu 2.04, 2 In 2.24
In (0.0000, 0.0000, 0.5000)  2 Li 2.24
Cu (0.0000, 0.5000, 0.0000)  2 Li 2.04
Tc (0.5000, 0.5000, 0.5000)  4 In 2.88, 8 Cu 3.03

=====

[12]
Li3Th2InCu12 | PBE-GGA | optimized geometry

Cell: 6.2545 6.2545 27.1021 Å, 90.00 90.00 120.00°
Closest atoms and distances in Å follow each position.
Space group R-3m (No. 166, hexagonal axes)
Unique sites:
Li (0.0000, 0.5000, 0.0000)  4 Cu 2.35
Th (0.0000, 0.0000, 0.1383)  6 Cu 2.95-3.00
In (0.0000, 0.0000, 0.5000)  6 Cu 2.79
Cu (0.0559, 0.5279, 0.9008)  4 Cu 2.50-2.60, 1 Li 2.71, 1 In 2.79
Cu (0.0772, 0.5386, 0.6242)  2 Li 2.35, 4 Cu 2.40-2.50

=====

[13]
LiTlIn2Cu | PBE-GGA | optimized geometry

Cell: 5.0251 5.0251 4.9814 Å, 90.00 90.00 90.00°
Closest atoms and distances in Å follow each position.
Space group P4/mmm (No. 123)
Unique sites:
Li (0.0000, 0.0000, 0.0000)  2 Cu 2.49
Tl (0.5000, 0.5000, 0.0000)  8 In 3.54, 4 Li 3.55
In (0.0000, 0.5000, 0.5000)  2 Cu 2.51
Cu (0.0000, 0.0000, 0.5000)  2 Li 2.49, 4 In 2.51

=====

[14]
LiTlInCu | PBE-GGA | optimized geometry

Cell: 6.7356 6.7356 6.7356 Å, 90.00 90.00 90.00°
Closest atoms and distances in Å follow each position.
Space group F-43m (No. 216)
Unique sites:
Li (0.0000, 0.0000, 0.0000)  4 In 2.92, 4 Tl 2.92
Tl (0.2500, 0.2500, 0.7500)  4 Li 2.92, 4 Cu 2.92
In (0.2500, 0.2500, 0.2500)  4 Li 2.92, 4 Cu 2.92
Cu (0.0000, 0.0000, 0.5000)  4 Tl 2.92, 4 In 2.92

=====

[15]
LiTmInCu | PBE-GGA | optimized geometry

Cell: 6.6290 6.6290 6.6290 Å, 90.00 90.00 90.00°
Closest atoms and distances in Å follow each position.
Space group F-43m (No. 216)
Unique sites:
Li (0.0000, 0.0000, 0.0000)  4 Tm 2.87, 4 In 2.87
Tm (0.2500, 0.2500, 0.2500)  4 Cu 2.87, 4 Li 2.87
In (0.2500, 0.2500, 0.7500)  4 Li 2.87, 4 Cu 2.87
Cu (0.0000, 0.0000, 0.5000)  4 In 2.87, 4 Tm 2.87

=====

[16]
LiYInCu | PBE-GGA | optimized geometry

Cell: 6.6999 6.6999 6.6999 Å, 90.00 90.00 90.00°
Closest atoms and distances in Å follow each position.
Space group F-43m (No. 216)
Unique sites:
Li (0.0000, 0.0000, 0.0000)  4 In 2.90, 4 Y 2.90
Y (0.2500, 0.2500, 0.2500)  4 Cu 2.90, 4 Li 2.90
In (0.2500, 0.2500, 0.7500)  4 Li 2.90, 4 Cu 2.90
Cu (0.0000, 0.0000, 0.5000)  4 In 2.90, 4 Y 2.90

=====

[17]
Li2ZnInCu | PBE-GGA | optimized geometry

Cell: 5.1282 5.1282 4.8928 Å, 90.00 90.00 90.00°
Closest atoms and distances in Å follow each position.
Space group P4/mmm (No. 123)
Unique sites:
Li (0.0000, 0.5000, 0.0000)  2 In 2.56
Zn (0.0000, 0.0000, 0.5000)  2 In 2.45
In (0.0000, 0.0000, 0.0000)  2 Zn 2.45, 4 Li 2.56
Cu (0.5000, 0.5000, 0.5000)  8 Li 3.54, 4 Zn 3.63

=====

[18]
LiZr2InCu | PBE-GGA | optimized geometry

Cell: 4.7094 4.7094 4.5618 Å, 90.00 90.00 90.00°
Closest atoms and distances in Å follow each position.
Space group P4/mmm (No. 123)
Unique sites:
Li (0.0000, 0.0000, 0.0000)  2 In 2.28, 4 Zr 2.35
Zr (0.0000, 0.5000, 0.0000)  2 Li 2.35
In (0.0000, 0.0000, 0.5000)  2 Li 2.28
Cu (0.5000, 0.5000, 0.5000)  8 Zr 3.28, 4 In 3.33

=====

[19]
LuIn2Cu | PBE-GGA | optimized geometry

Cell: 4.4667 4.4667 15.5838 Å, 90.00 90.00 120.00°
Closest atoms and distances in Å follow each position.
Space group R-3m (No. 166, hexagonal axes)
Unique sites:
Lu (0.0000, 0.0000, 0.0000)  8 In 3.10-3.47
In (0.0000, 0.0000, 0.2225)  3 Cu 2.72
Cu (0.0000, 0.0000, 0.5000)  6 In 2.72

=====

[20]
LuIn2Cu | PBE-GGA | optimized geometry

Cell: 3.3225 3.3225 7.6584 Å, 90.00 90.00 90.00°
Closest atoms and distances in Å follow each position.
Space group P4/mmm (No. 123)
Unique sites:
Lu (0.0000, 0.0000, 0.0000)  8 In 3.23, 4 Lu 3.32
In (0.5000, 0.5000, 0.2899)  4 Cu 2.85
Cu (0.0000, 0.0000, 0.5000)  8 In 2.85

=====

| no. | calculated volume (Å³ per cell) | final energy (eV per atom) |
| --- | --- | --- |
| 1 | 927 | -3.64 |
| 2 | 326 | -3.72 |
| 3 | 250 | -4.12 |
| 4 | 73 | -3.71 |
| 5 | 855 | -3.67 |
| 6 | 306 | -3.26 |
| 7 | 129 | -2.79 |
| 8 | 125 | -2.55 |
| 9 | 282 | -2.79 |
| 10 | 1328 | -2.12 |
| 11 | 74 | -3.88 |
| 12 | 918 | -3.92 |
| 13 | 126 | -2.73 |
| 14 | 306 | -2.80 |
| 15 | 291 | -3.66 |
| 16 | 301 | -4.18 |
| 17 | 129 | -1.79 |
| 18 | 101 | -4.54 |
| 19 | 269 | -3.68 |
| 20 | 85 | -3.67 |